1.
# La5Pm2Pr3 PBE-GGA optimized geometry
# Crystal system: monoclinic
data_La5Pm2Pr3
_cell_length_a 11.235
_cell_length_b 14.947
_cell_length_c 10.363
_cell_angle_alpha 90.00
_cell_angle_beta 122.79
_cell_angle_gamma 90.00
_space_group_name_H-M_alt 'C 1 2/c 1'
_space_group_IT_number 15
loop_
_space_group_symop_operation_xyz
'x,y,z'
'-x,-y,-z'
'-x,y,-z+1/2'
'x,-y,z+1/2'
'x+1/2,y+1/2,z'
'-x+1/2,-y+1/2,-z'
'-x+1/2,y+1/2,-z+1/2'
'x+1/2,-y+1/2,z+1/2'
loop_
_atom_site_label
_atom_site_type_symbol
_atom_site_fract_x
_atom_site_fract_y
_atom_site_fract_z
_atom_site_occupancy
La1 La 0.000 0.023 0.250 1
La2 La 0.000 0.230 0.250 1
La3 La 0.000 0.275 0.750 1
La4 La 0.247 0.376 0.244 1
Pm1 Pm 0.155 0.375 0.560 1
Pr1 Pr 0.000 0.482 0.750 1
Pr2 Pr 0.152 0.125 0.056 1

---

2.
# La12Pm3Pr PBE-GGA optimized geometry
# Crystal system: tetragonal
data_La12Pm3Pr
_cell_length_a 5.244
_cell_length_b 5.244
_cell_length_c 20.987
_cell_angle_alpha 90.00
_cell_angle_beta 90.00
_cell_angle_gamma 90.00
_space_group_name_H-M_alt 'P 4/m m m'
_space_group_IT_number 123
_space_group_name_Hall '-P 4 2'
loop_
_atom_site_label
_atom_site_type_symbol
_atom_site_fract_x
_atom_site_fract_y
_atom_site_fract_z
_atom_site_occupancy
La1 La 0.000 0.000 0.000 1
La2 La 0.000 0.000 0.249 1
La3 La 0.000 0.000 0.500 1
La4 La 0.000 0.500 0.125 1
La5 La 0.000 0.500 0.374 1
Pm1 Pm 0.500 0.500 0.000 1
Pm2 Pm 0.500 0.500 0.249 1
Pr1 Pr 0.500 0.500 0.500 1

---

3.
# La5Pm2Pr2 PBE-GGA optimized geometry
# Crystal system: orthorhombic
# Offset from the most stable computed form: 1.31 eV/f.u.
data_La5Pm2Pr2
_cell_length_a 15.213
_cell_length_b 12.028
_cell_length_c 7.042
_cell_angle_alpha 90.00
_cell_angle_beta 90.00
_cell_angle_gamma 90.00
_space_group_name_H-M_alt 'I m a 2'
_space_group_IT_number 46
loop_
_space_group_symop_operation_xyz
'x,y,z'
'-x,-y,z'
'-x+1/2,y,z'
'x+1/2,-y,z'
'x+1/2,y+1/2,z+1/2'
'-x+1/2,-y+1/2,z+1/2'
'-x,y+1/2,z+1/2'
'x,-y+1/2,z+1/2'
loop_
_atom_site_label
_atom_site_type_symbol
_atom_site_fract_x
_atom_site_fract_y
_atom_site_fract_z
_atom_site_occupancy
La1 La 0.052 0.233 0.000 1
La2 La 0.144 0.728 0.664 1
La3 La 0.250 0.249 0.180 1
Pm1 Pm 0.129 0.506 0.333 1
Pr1 Pr 0.000 0.000 0.353 1
Pr2 Pr 0.250 0.504 0.879 1

---

4.
# LaPm3Pr3 PBE-GGA optimized geometry
# Crystal system: hexagonal
# Offset from the most stable computed form: 0.00 eV/f.u.
data_LaPm3Pr3
_cell_length_a 9.8838
_cell_length_b 9.8838
_cell_length_c 5.9691
_cell_angle_alpha 90.00
_cell_angle_beta 90.00
_cell_angle_gamma 120.00
_space_group_name_H-M_alt 'P 63/m'
_space_group_IT_number 176
_space_group_name_Hall '-P 6c'
loop_
_atom_site_label
_atom_site_type_symbol
_atom_site_fract_x
_atom_site_fract_y
_atom_site_fract_z
_atom_site_occupancy
La1 La 0.3333 0.6667 0.2500 1
Pm1 Pm 0.0465 0.8114 0.2500 1
Pr1 Pr 0.0948 0.6202 0.7500 1

---

5.
# La6PmPr12 PBE-GGA optimized geometry
# Crystal system: trigonal
# Offset from the most stable computed form: 0.00 eV/f.u.
data_La6PmPr12
_cell_length_a 16.2122
_cell_length_b 16.2122
_cell_length_c 9.1373
_cell_angle_alpha 90.00
_cell_angle_beta 90.00
_cell_angle_gamma 120.00
_space_group_name_H-M_alt 'R -3'
_space_group_IT_number 148
_space_group_name_Hall '-R 3'
loop_
_atom_site_label
_atom_site_type_symbol
_atom_site_fract_x
_atom_site_fract_y
_atom_site_fract_z
_atom_site_occupancy
La1 La 0.0351 0.7550 0.3340 1
Pm1 Pm 0.0000 0.0000 0.0000 1
Pr1 Pr 0.0175 0.8774 0.6678 1
Pr2 Pr 0.0709 0.5099 0.6668 1

---

6.
# La4PmPr2 PBE-GGA optimized geometry
# Crystal system: triclinic
# Offset from the most stable computed form: 0.00 eV/f.u.
data_La4PmPr2
_cell_length_a 7.134
_cell_length_b 7.297
_cell_length_c 10.647
_cell_angle_alpha 90.00
_cell_angle_beta 90.00
_cell_angle_gamma 108.59
_space_group_name_H-M_alt 'P -1'
_space_group_IT_number 2
loop_
_space_group_symop_operation_xyz
'x,y,z'
'-x,-y,-z'
loop_
_atom_site_label
_atom_site_type_symbol
_atom_site_fract_x
_atom_site_fract_y
_atom_site_fract_z
_atom_site_occupancy
La1 La 0.191 0.226 0.213 1
La2 La 0.193 0.229 0.787 1
La3 La 0.306 0.773 0.290 1
La4 La 0.308 0.776 0.710 1
Pm1 Pm 0.000 0.000 0.500 1
Pm2 Pm 0.000 0.500 0.500 1
Pr1 Pr 0.000 0.500 0.000 1
Pr2 Pr 0.500 0.000 0.000 1
Pr3 Pr 0.500 0.500 0.000 1
Pr4 Pr 0.500 0.500 0.500 1

---

| no. | ρ (g/cm³) | ΔE_f (eV per atom) |
| --- | --- | --- |
| 1 | 6.4 | 0.141 |
| 2 | 6.5 | 0.006 |
| 3 | 6.5 | 0.162 |
| 4 | 6.6 | 0.032 |
| 5 | 6.4 | 0.014 |
| 6 | 6.2 | 0.157 |